Compound: LiMgIr2
Source: Alexandria via LeMat-Bulk
Functional: PBEsol
Structure: relaxed

Unit cell a=2.688 b=4.167 c=5.129 alpha=90.00 beta=103.65 gamma=90.00
Atoms (fractional coordinates):
Ir1 0.343 0.000 0.227
Li1 0.500 0.500 0.000
Mg1 0.000 0.500 0.500
Ir2 0.657 0.000 0.773

Summary:
Space-group type = P2/m
Calculated formation energy = -0.787 eV/f.u.

***

Compound: TlSbAu2
Source: Alexandria via LeMat-Bulk
Functional: PBEsol
Structure: relaxed

Unit cell a=4.556 b=4.556 c=4.672 alpha=90.00 beta=90.00 gamma=104.24
Atoms (fractional coordinates):
Sb1 0.559 0.441 0.000
Tl1 0.214 0.786 0.500
Au1 0.968 0.031 0.000
Au2 0.758 0.242 0.500

Summary:
E_form (uncorrected) = 7.0 meV/atom
Space-group type = Amm2

***

Compound: In2FeCu
Source: Alexandria via LeMat-Bulk
Functional: PBEsol
Structure: relaxed

Unit cell a=2.942 b=4.551 c=5.323 alpha=107.60 beta=106.04 gamma=90.00
Each line ends with the local moment (μB).
Atoms (fractional coordinates):
Fe1 0.231 0.787 0.462  2.24
In1 0.762 0.302 0.524  -0.07
Cu1 0.528 0.474 0.057  0.00
In2 0.979 0.936 0.957  -0.04

Summary:
Space-group type = Cm
Calculated formation energy = 0.783 eV/f.u.

***

no.,DOS at the Fermi energy (states/eV per atom),M_tot (μB/f.u.),calculated total energy (eV/atom)
1,0.57,0.00,-6.03
2,0.45,0.00,-3.75
3,0.51,2.08,-4.62